No. 1
This record from Alexandria describes an optimized crystal structure of Cs2HoPu2S6. The functional is PBE-GGA.

The structure in CIF format:
```
data_Cs2HoPu2S6
_chemical_formula_sum 'Cs4 Ho2 Pu4 S12'
_cell_length_a 7.0131
_cell_length_b 12.1556
_cell_length_c 8.5349
_cell_angle_alpha 90.00
_cell_angle_beta 105.66
_cell_angle_gamma 90.00
_space_group_name_H-M_alt 'C 1 2/m 1'
_space_group_IT_number 12
_space_group_name_Hall '-C 2y'
loop_
_atom_site_label
_atom_site_type_symbol
_atom_site_fract_x
_atom_site_fract_y
_atom_site_fract_z
Cs1 Cs 0.0000 0.1656 0.0000
Ho1 Ho 0.0000 0.0000 0.5000
Pu1 Pu 0.0000 0.3339 0.5000
S1 S 0.2233 0.5000 0.6746
S2 S 0.2244 0.1684 0.6744
```

Its formation energy (no corrections) is -18.293 eV per formula unit. The density of states at the Fermi level is 33.1 states/eV per cell. As for the total magnetization: 18.00 μB/cell.

***

No. 2
This record from Alexandria describes an optimized crystal structure of Cs3HoPu3S8. The functional is PBE-GGA.

The structure in CIF format:
```
data_Cs3HoPu3S8
_chemical_formula_sum 'Cs9 Ho3 Pu9 S24'
_cell_length_a 8.1648
_cell_length_b 8.1648
_cell_length_c 24.4321
_cell_angle_alpha 90.00
_cell_angle_beta 90.00
_cell_angle_gamma 120.00
_space_group_name_H-M_alt 'R -3 m'
_space_group_IT_number 166
_space_group_name_Hall '-R 3 2"'
loop_
_atom_site_label
_atom_site_type_symbol
_atom_site_fract_x
_atom_site_fract_y
_atom_site_fract_z
Cs1 Cs 0.0000 0.5000 0.0000
Ho1 Ho 0.0000 0.0000 0.5000
Pu1 Pu 0.0000 0.5000 0.5000
S1 S 0.0000 0.0000 0.2254
S2 S 0.0002 0.5001 0.2251
```

Its formation energy (no corrections) is -24.494 eV per formula unit. The density of states at the Fermi level is 80.4 states/eV per cell. As for the total magnetization: 42.00 μB/cell.

***

No. 3
This record from Alexandria describes an optimized crystal structure of Cs2Ho2PuS6. The functional is PBE-GGA.

The structure in CIF format:
```
data_Cs2Ho2PuS6
_chemical_formula_sum 'Cs4 Ho4 Pu2 S12'
_cell_length_a 6.9663
_cell_length_b 12.0567
_cell_length_c 8.5867
_cell_angle_alpha 90.00
_cell_angle_beta 106.08
_cell_angle_gamma 90.00
_space_group_name_H-M_alt 'C 1 2/m 1'
_space_group_IT_number 12
_space_group_name_Hall '-C 2y'
loop_
_atom_site_label
_atom_site_type_symbol
_atom_site_fract_x
_atom_site_fract_y
_atom_site_fract_z
Cs1 Cs 0.0000 0.1687 0.0000
Ho1 Ho 0.0000 0.3335 0.5000
Pu1 Pu 0.0000 0.0000 0.5000
S1 S 0.2236 0.1646 0.6760
S2 S 0.2329 0.5000 0.6757
```

Its formation energy (no corrections) is -19.169 eV per formula unit. The density of states at the Fermi level is 15.4 states/eV per cell. As for the total magnetization: 8.00 μB/cell.

***

No. 4
This record from Alexandria describes an optimized crystal structure of Cs3Ho2PuS6. The functional is PBE-GGA.

The structure in CIF format:
```
data_Cs3Ho2PuS6
_chemical_formula_sum 'Cs6 Ho4 Pu2 S12'
_cell_length_a 7.1513
_cell_length_b 12.3862
_cell_length_c 8.3867
_cell_angle_alpha 90.00
_cell_angle_beta 106.51
_cell_angle_gamma 90.00
_space_group_name_H-M_alt 'C 1 2/m 1'
_space_group_IT_number 12
_space_group_name_Hall '-C 2y'
loop_
_atom_site_label
_atom_site_type_symbol
_atom_site_fract_x
_atom_site_fract_y
_atom_site_fract_z
Cs1 Cs 0.0000 0.0000 0.0000
Cs2 Cs 0.0000 0.3331 0.0000
Ho1 Ho 0.0000 0.1666 0.5000
Pu1 Pu 0.0000 0.5000 0.5000
S1 S 0.2221 0.0000 0.6806
S2 S 0.2292 0.3310 0.6805
```

Its formation energy (no corrections) is -20.607 eV per formula unit. The density of states at the Fermi level is 24.6 states/eV per cell. As for the total magnetization: 10.00 μB/cell.

***

> Among the records above, which one has the highest formation energy (no corrections)?

Cs2HoPu2S6

***

> Which value of formation energy (no corrections) does entry 1 give?

-18.293 eV per formula unit